Ta2MnZn, relaxed, DFT GGA-PBE; spin magnetization = 0.89 μB/f.u.; ΔH_f (0 K) = 0.31 eV/f.u.; electronic total energy = -8.459 eV per atom; SG = P2/m (10)
1.0
-2.1094 -3.2576 0.2232
2.2596 -1.5226 -0.8678
3.2393 -1.7760 4.6919
Mn Ta Zn
1 2 1
direct
0.5000 0.7500 0.7500
0.0000 0.5410 0.5156
0.0000 0.9590 0.9844
0.5000 0.2500 0.2500